1.
{"formula": "Ta2ReAg", "functional": "SCAN", "state": "PBEsol geometry", "delta_e_f_kj_per_mol_fu": 115.4, "space_group": "No. 25", "polymorph_energy_ev_per_atom": 0.213, "lattice": [[-2.537, 0.642, 0.576], [-0.182, -3.286, 2.863], [1.812, 3.479, 4.107]], "species": ["Ag", "Ta", "Ta", "Re"], "frac_coords": [[0.000, 0.000, 0.497], [0.000, 0.000, 0.984], [0.500, 0.500, 0.258], [0.500, 0.500, 0.761]]}


2.
{"formula": "Ta2ReAg", "functional": "SCAN", "state": "PBEsol geometry", "delta_e_f_kj_per_mol_fu": 56.4, "space_group": "No. 35", "polymorph_energy_ev_per_atom": 0.060, "lattice": [[-2.439, 0.392, -1.203], [1.049, -2.374, -0.904], [-4.136, -4.465, 6.927]], "species": ["Ag", "Re", "Ta", "Ta"], "frac_coords": [[0.000, 0.000, 0.496], [0.500, 0.500, 0.243], [0.500, 0.500, 0.752], [0.000, 0.000, 0.010]]}


3.
{"formula": "Ta2ReAg", "functional": "SCAN", "state": "PBEsol geometry", "delta_e_f_kj_per_mol_fu": 34.0, "space_group": "No. 65", "polymorph_energy_ev_per_atom": 0.002, "lattice": [[3.190, 0.138, 0.200], [-0.232, 4.504, 0.612], [-0.232, -1.039, 4.425]], "species": ["Ta", "Ta", "Ag", "Re"], "frac_coords": [[0.000, 0.500, 0.000], [0.000, 0.000, 0.500], [0.500, 0.500, 0.500], [0.500, 0.000, 0.000]]}


4.
{"formula": "Ta2ReAg", "functional": "SCAN", "state": "PBEsol geometry", "delta_e_f_kj_per_mol_fu": 33.1, "space_group": "No. 123", "polymorph_energy_ev_per_atom": 0.000, "lattice": [[3.215, 0.000, 0.000], [0.000, 4.532, 0.000], [0.000, 0.000, 4.532]], "species": ["Ta", "Ta", "Ag", "Re"], "frac_coords": [[0.000, 0.000, 0.500], [0.000, 0.500, 0.000], [0.500, 0.500, 0.500], [0.500, 0.000, 0.000]]}


5.
{"formula": "Ta2ReAg", "functional": "SCAN", "state": "PBEsol geometry", "delta_e_f_kj_per_mol_fu": 42.6, "space_group": "No. 10", "polymorph_energy_ev_per_atom": 0.025, "lattice": [[2.761, 0.000, 0.005], [0.000, 4.228, 0.000], [-0.897, 0.000, 5.671]], "species": ["Ta", "Ta", "Re", "Ag"], "frac_coords": [[0.079, 0.000, 0.266], [0.921, 0.000, 0.734], [0.500, 0.500, 0.500], [0.500, 0.500, 0.000]]}


6.
{"formula": "Ta2ReAg", "functional": "SCAN", "state": "PBEsol geometry", "delta_e_f_kj_per_mol_fu": 73.5, "space_group": "No. 44", "polymorph_energy_ev_per_atom": 0.105, "lattice": [[3.262, 0.000, 0.000], [0.000, 4.492, 0.000], [-1.631, -2.246, 4.553]], "species": ["Re", "Ta", "Ta", "Ag"], "frac_coords": [[0.262, 0.762, 0.524], [0.987, 0.987, 0.973], [0.744, 0.244, 0.488], [0.507, 0.507, 0.014]]}


7.
{"formula": "Ta2ReAg", "functional": "SCAN", "state": "PBEsol geometry", "delta_e_f_kj_per_mol_fu": 39.3, "space_group": "No. 139", "polymorph_energy_ev_per_atom": 0.016, "lattice": [[4.223, 0.000, 0.000], [-2.112, 4.240, 0.024], [0.000, -2.127, 3.652]], "species": ["Ta", "Ta", "Re", "Ag"], "frac_coords": [[0.250, 0.500, 0.250], [0.750, 0.500, 0.750], [0.000, 0.000, 0.500], [0.500, 0.000, 0.000]]}


8.
{"formula": "ReTc2Ag", "functional": "SCAN", "state": "PBEsol geometry", "delta_e_f_kj_per_mol_fu": 208.6, "space_group": "No. 44", "polymorph_energy_ev_per_atom": 0.084, "lattice": [[2.879, 0.000, 0.000], [0.000, 4.526, 0.000], [-1.439, -2.263, 4.598]], "species": ["Ag", "Tc", "Tc", "Re"], "frac_coords": [[0.499, 0.499, 0.998], [0.002, 0.002, 0.003], [0.729, 0.229, 0.458], [0.270, 0.770, 0.540]]}


9.
{"formula": "ReTcAg2", "functional": "SCAN", "state": "PBEsol geometry", "delta_e_f_kj_per_mol_fu": 266.4, "space_group": "No. 119", "polymorph_energy_ev_per_atom": 0.106, "lattice": [[-2.658, -1.511, -2.511], [2.922, -1.103, -2.430], [0.090, -2.072, 4.270]], "species": ["Tc", "Ag", "Ag", "Re"], "frac_coords": [[0.250, 0.750, 0.500], [0.750, 0.250, 0.500], [0.000, 0.000, 0.000], [0.500, 0.500, 0.000]]}


10.
{"formula": "ReTc2Ag", "functional": "SCAN", "state": "PBEsol geometry", "delta_e_f_kj_per_mol_fu": 176.2, "space_group": "No. 65", "polymorph_energy_ev_per_atom": 0.000, "lattice": [[2.744, 0.000, 0.000], [0.000, 4.734, 0.002], [0.000, -1.548, 4.474]], "species": ["Tc", "Tc", "Ag", "Re"], "frac_coords": [[0.000, 0.500, 0.000], [0.000, 0.000, 0.500], [0.500, 0.000, 0.000], [0.500, 0.500, 0.500]]}


11.
{"formula": "ReTc2Ag", "functional": "SCAN", "state": "PBEsol geometry", "delta_e_f_kj_per_mol_fu": 207.9, "space_group": "No. 71", "polymorph_energy_ev_per_atom": 0.082, "lattice": [[2.917, 0.000, 0.000], [0.000, 4.537, 0.000], [-1.459, -2.269, 4.563]], "species": ["Tc", "Tc", "Re", "Ag"], "frac_coords": [[0.726, 0.726, 0.453], [0.274, 0.274, 0.547], [0.000, 0.500, 0.000], [0.500, 0.000, 0.000]]}


12.
{"formula": "ReTcAg2", "functional": "SCAN", "state": "PBEsol geometry", "delta_e_f_kj_per_mol_fu": 297.2, "space_group": "No. 216", "polymorph_energy_ev_per_atom": 0.186, "lattice": [[-0.010, 4.204, 1.383], [-3.763, 1.859, 1.401], [-0.550, 0.915, 4.295]], "species": ["Re", "Ag", "Ag", "Tc"], "frac_coords": [[0.500, 0.500, 0.500], [0.000, 0.000, 0.000], [0.750, 0.750, 0.750], [0.250, 0.250, 0.250]]}


13.
{"formula": "ReTcAg2", "functional": "SCAN", "state": "PBEsol geometry", "delta_e_f_kj_per_mol_fu": 225.5, "space_group": "No. 12", "polymorph_energy_ev_per_atom": 0.000, "lattice": [[-0.997, -1.387, -2.103], [4.149, -2.115, -0.571], [-1.565, -2.444, 4.097]], "species": ["Tc", "Ag", "Ag", "Re"], "frac_coords": [[0.000, 0.500, 0.000], [0.750, 0.750, 0.500], [0.250, 0.250, 0.500], [0.500, 0.000, 0.000]]}


14.
{"formula": "ReTc2Ag", "functional": "SCAN", "state": "PBEsol geometry", "delta_e_f_kj_per_mol_fu": 190.4, "space_group": "No. 123", "polymorph_energy_ev_per_atom": 0.037, "lattice": [[-0.235, 3.559, -1.374], [-1.594, 1.186, 3.345], [3.541, 0.778, 1.412]], "species": ["Ag", "Tc", "Tc", "Re"], "frac_coords": [[0.500, 0.500, 0.500], [0.000, 0.000, 0.500], [0.000, 0.500, 0.000], [0.500, 0.000, 0.000]]}


15.
{"formula": "ReAgTe", "functional": "SCAN", "state": "PBEsol geometry", "space_group": "No. 156", "raw_formation_energy_kj_per_mol_atoms": 69, "lattice": [[3.126, 0.000, 0.000], [-1.563, 2.707, 0.000], [0.000, 0.000, 6.762]], "species": ["Re", "Te", "Ag"], "frac_coords": [[0.333, 0.667, 0.653], [0.667, 0.333, 0.370], [0.000, 0.000, 0.977]]}


16.
{"formula": "ReAg2Te", "functional": "SCAN", "state": "PBEsol geometry", "space_group": "No. 216", "raw_formation_energy_kj_per_mol_atoms": 81, "lattice": [[-0.469, -2.028, -4.123], [0.172, -4.602, -0.343], [-3.831, -2.388, -0.977]], "species": ["Ag", "Ag", "Te", "Re"], "frac_coords": [[0.750, 0.750, 0.750], [0.000, 0.000, 0.000], [0.250, 0.250, 0.250], [0.500, 0.500, 0.500]]}


17.
{"formula": "ReAg2Te", "functional": "SCAN", "state": "PBEsol geometry", "space_group": "No. 47", "raw_formation_energy_kj_per_mol_atoms": 83, "lattice": [[-2.567, 0.611, -0.856], [-1.717, -2.370, 3.456], [0.038, 4.746, 3.274]], "species": ["Re", "Ag", "Ag", "Te"], "frac_coords": [[0.500, 0.500, 0.000], [0.000, 0.000, 0.772], [0.000, 0.000, 0.228], [0.500, 0.500, 0.500]]}


18.
{"formula": "ReAg2Te", "functional": "SCAN", "state": "PBEsol geometry", "space_group": "No. 12", "raw_formation_energy_kj_per_mol_atoms": 75, "lattice": [[-2.175, -1.876, -1.184], [1.721, 0.616, -4.135], [3.257, -3.301, 3.321]], "species": ["Ag", "Ag", "Re", "Te"], "frac_coords": [[0.244, 0.244, 0.489], [0.756, 0.756, 0.511], [0.500, 0.000, 0.000], [0.000, 0.500, 0.000]]}


19.
{"formula": "Re2AgTe", "functional": "SCAN", "state": "PBEsol geometry", "space_group": "No. 44", "raw_formation_energy_kj_per_mol_atoms": 84, "lattice": [[-2.657, 1.155, 0.559], [-1.878, -4.277, -0.090], [3.130, 1.074, 4.875]], "species": ["Te", "Re", "Re", "Ag"], "frac_coords": [[0.465, 0.465, 0.929], [0.735, 0.235, 0.469], [0.043, 0.043, 0.085], [0.258, 0.758, 0.516]]}


20.
{"formula": "ReAgTe3", "functional": "SCAN", "state": "PBEsol geometry", "space_group": "No. 221", "raw_formation_energy_kj_per_mol_atoms": 158, "lattice": [[5.250, 0.000, 0.000], [0.000, 5.250, 0.000], [0.000, 0.000, 5.250]], "species": ["Ag", "Re", "Te", "Te", "Te"], "frac_coords": [[0.000, 0.000, 0.000], [0.500, 0.500, 0.500], [0.500, 0.000, 0.000], [0.000, 0.000, 0.500], [0.000, 0.500, 0.000]]}